Record 1
# CuRePt2

An optimized crystal structure of CuRePt2 (GGA-PBEsol, Alexandria via LeMat-Bulk).

a = 3.7887 Å, b = 3.7887 Å, c = 7.7678 Å
α = 90.00°, β = 90.00°, γ = 90.00°
Last column: nearest neighbours and their distance in Å.
Space group I4/mmm (No. 139)
One atom of each set of equivalent atoms:
Cu: 0.0000 0.0000 0.0000 (multiplicity 2)  4 Re 2.68, 8 Pt 2.71
Re: 0.0000 0.0000 0.5000 (multiplicity 2)  4 Cu 2.68, 8 Pt 2.71
Pt: 0.0000 0.5000 0.2500 (multiplicity 4)  4 Pt 2.68, 4 Re 2.71, 4 Cu 2.71

Properties
M_tot: 0.00 μB per formula unit
formation energy from the elements: 0.039 eV per atom

=====

Record 2
# CuRePt2

An optimized crystal structure of CuRePt2 (GGA-PBEsol, Alexandria via LeMat-Bulk).

a = 8.9204 Å, b = 2.7013 Å, c = 4.7204 Å
α = 90.00°, β = 99.09°, γ = 90.00°
Last column: nearest neighbours and their distance in Å.
Space group C2/m (No. 12)
One atom of each set of equivalent atoms:
Cu: 0.0000 0.0000 0.0000 (multiplicity 2)  6 Pt 2.68-2.72, 2 Cu 2.70, 4 Re 2.72
Re: 0.0000 0.5000 0.5000 (multiplicity 2)  6 Pt 2.68-2.70, 2 Re 2.70, 4 Cu 2.72
Pt: 0.2492 0.0000 0.7481 (multiplicity 4)  3 Cu 2.68-2.72, 3 Re 2.68-2.70, 6 Pt 2.70-2.73

Properties
M_tot: 0.00 μB per formula unit
formation energy from the elements: 0.033 eV per atom